i | Computed, not measured: a relaxed structure of LiAcPt at the PBE-GGA level of DFT.

## Properties
crystal system: trigonal
space-group type: R-3m, No. 166
total magnetization: 0.0 μB/f.u.

a = 7.9236 Å, b = 7.9236 Å, c = 7.9236 Å
α = 37.82°, β = 37.82°, γ = 37.82°
Closest atoms and distances in Å follow each position.
Atoms (fractional coordinates):
Li  0.1377  0.1377  0.1377  1 Pt 2.54
Li  0.8623  0.8623  0.8623  1 Pt 2.54
Ac  0.3924  0.3924  0.3924  4 Pt 3.00-3.07
Ac  0.6076  0.6076  0.6076  4 Pt 3.00-3.07
Pt  0.2531  0.2531  0.2531  1 Li 2.54
Pt  0.7469  0.7469  0.7469  1 Li 2.54

---

ii | Computed, not measured: a relaxed structure of LiAcPt at the PBE-GGA level of DFT.

## Properties
crystal system: tetragonal
space-group type: I4/mmm, No. 139
total magnetization: 0.0 μB/f.u.

a = 8.6032 Å, b = 8.6032 Å, c = 8.6032 Å
α = 151.16°, β = 151.16°, γ = 41.24°
Closest atoms and distances in Å follow each position.
Atoms (fractional coordinates):
Li  0.0000  0.5000  0.5000  4 Pt 3.00, 4 Li 3.03
Li  0.5000  0.0000  0.5000  4 Pt 3.00, 4 Li 3.03
Ac  0.1674  0.1674  0.0000  5 Pt 3.09-3.26, 4 Li 3.44
Ac  0.8326  0.8326  0.0000  5 Pt 3.09-3.26, 4 Li 3.44
Pt  0.3699  0.3699  0.0000  4 Li 3.00, 5 Ac 3.09-3.26
Pt  0.6301  0.6301  0.0000  4 Li 3.00, 5 Ac 3.09-3.26

---

iii | Computed, not measured: a relaxed structure of LiAcPt at the PBE-GGA level of DFT.

## Properties
crystal system: hexagonal
space-group type: P-6m2, No. 187
total magnetization: 0.0 μB/f.u.

a = 4.4234 Å, b = 4.4234 Å, c = 4.2177 Å
α = 90.00°, β = 90.00°, γ = 120.00°
Closest atoms and distances in Å follow each position.
Atoms (fractional coordinates):
Li  0.0000  0.0000  0.0000  3 Pt 2.55
Ac  0.3333  0.6667  0.5000  6 Li 3.31, 6 Pt 3.31
Pt  0.6667  0.3333  0.0000  3 Li 2.55

---

The data favor ii; the next most stable structure lies 0.020 eV/atom above it.

---

i | Computed, not measured: a relaxed structure of LiAcPt2 at the PBE-GGA level of DFT.

## Properties
crystal system: orthorhombic
space-group type: Pnma, No. 62
total magnetization: 0.0 μB/f.u.

a = 7.3981 Å, b = 4.4640 Å, c = 10.5194 Å
α = 90.00°, β = 90.00°, γ = 90.00°
Closest atoms and distances in Å follow each position.
Atoms (fractional coordinates):
Li  0.0303  0.2500  0.1016  5 Pt 2.58-2.71
Li  0.4697  0.7500  0.6016  5 Pt 2.58-2.71
Li  0.5303  0.2500  0.3984  5 Pt 2.58-2.71
Li  0.9697  0.7500  0.8984  5 Pt 2.58-2.71
Ac  0.1603  0.7500  0.3601  9 Pt 3.14-3.37, 1 Li 3.42
Ac  0.3397  0.2500  0.8601  9 Pt 3.14-3.37, 1 Li 3.42
Ac  0.6603  0.7500  0.1399  9 Pt 3.14-3.37, 1 Li 3.42
Ac  0.8397  0.2500  0.6399  9 Pt 3.14-3.37, 1 Li 3.42
Pt  0.1334  0.7500  0.6799  2 Li 2.60-2.62, 2 Pt 2.75
Pt  0.2304  0.7500  0.0615  3 Li 2.58-2.71, 2 Pt 2.75
Pt  0.2696  0.2500  0.5615  3 Li 2.58-2.71, 2 Pt 2.75
Pt  0.3666  0.2500  0.1799  2 Li 2.60-2.62, 2 Pt 2.75
Pt  0.6334  0.7500  0.8201  2 Li 2.60-2.62, 2 Pt 2.75
Pt  0.7304  0.7500  0.4385  3 Li 2.58-2.71, 2 Pt 2.75
Pt  0.7696  0.2500  0.9385  3 Li 2.58-2.71, 2 Pt 2.75
Pt  0.8666  0.2500  0.3201  2 Li 2.60-2.62, 2 Pt 2.75

---

ii | Computed, not measured: a relaxed structure of LiAcPt2 at the PBE-GGA level of DFT.

## Properties
crystal system: orthorhombic
space-group type: Cmcm, No. 63
total magnetization: 0.0 μB/f.u.

a = 5.7300 Å, b = 5.7300 Å, c = 7.2493 Å
α = 90.00°, β = 90.00°, γ = 137.60°
Closest atoms and distances in Å follow each position.
Atoms (fractional coordinates):
Li  0.2129  0.7871  0.7500  6 Pt 2.63-2.66
Li  0.7871  0.2129  0.2500  6 Pt 2.63-2.66
Ac  0.0695  0.9305  0.2500  3 Li 3.02-3.11, 6 Pt 3.11-3.38
Ac  0.9305  0.0695  0.7500  3 Li 3.02-3.11, 6 Pt 3.11-3.38
Pt  0.3553  0.6447  0.0503  3 Li 2.63-2.66, 1 Pt 2.90
Pt  0.3553  0.6447  0.4497  3 Li 2.63-2.66, 1 Pt 2.90
Pt  0.6447  0.3553  0.5503  3 Li 2.63-2.66, 1 Pt 2.90
Pt  0.6447  0.3553  0.9497  3 Li 2.63-2.66, 1 Pt 2.90

---

iii | Computed, not measured: a relaxed structure of LiAcPt2 at the PBE-GGA level of DFT.

## Properties
crystal system: cubic
space-group type: Fm-3m, No. 225
total magnetization: 0.0 μB/f.u.

a = 4.9913 Å, b = 4.9913 Å, c = 4.9913 Å
α = 60.00°, β = 60.00°, γ = 60.00°
Closest atoms and distances in Å follow each position.
Atoms (fractional coordinates):
Li  0.0000  0.0000  0.0000  8 Pt 3.06
Ac  0.5000  0.5000  0.5000  8 Pt 3.06
Pt  0.2500  0.2500  0.2500  4 Ac 3.06, 4 Li 3.06
Pt  0.7500  0.7500  0.7500  4 Ac 3.06, 4 Li 3.06

---

iv | Computed, not measured: a relaxed structure of LiAcPt2 at the PBE-GGA level of DFT.

## Properties
crystal system: tetragonal
space-group type: P4/mmm, No. 123
total magnetization: 0.0 μB/f.u.

a = 3.7232 Å, b = 3.7232 Å, c = 6.0908 Å
α = 90.00°, β = 90.00°, γ = 90.00°
Closest atoms and distances in Å follow each position.
Atoms (fractional coordinates):
Li  0.0000  0.0000  0.0000  8 Pt 2.96, 2 Ac 3.05
Ac  0.0000  0.0000  0.5000  2 Li 3.05, 8 Pt 3.13
Pt  0.5000  0.5000  0.2215  1 Pt 2.70, 4 Li 2.96
Pt  0.5000  0.5000  0.7785  1 Pt 2.70, 4 Li 2.96

---

The data favor i; the next most stable structure lies 0.033 eV/atom above it.

---

i | Computed, not measured: a relaxed structure of LiAcPt2 at the PBE-GGA level of DFT.

## Properties
crystal system: trigonal
space-group type: R-3m, No. 166
total magnetization: 0.0 μB/f.u.

a = 5.7392 Å, b = 5.7392 Å, c = 5.7392 Å
α = 45.11°, β = 45.11°, γ = 45.11°
Closest atoms and distances in Å follow each position.
Atoms (fractional coordinates):
Li  0.0000  0.0000  0.0000  6 Pt 2.64
Ac  0.5000  0.5000  0.5000  8 Pt 3.16-3.27
Pt  0.2881  0.2881  0.2881  3 Li 2.64, 3 Pt 2.90
Pt  0.7119  0.7119  0.7119  3 Li 2.64, 3 Pt 2.90

---

ii | Computed, not measured: a relaxed structure of LiAcPt2 at the PBE-GGA level of DFT.

## Properties
crystal system: tetragonal
space-group type: P4/mmm, No. 123
total magnetization: 0.0 μB/f.u.

a = 4.4470 Å, b = 4.4470 Å, c = 4.1887 Å
α = 90.00°, β = 90.00°, γ = 90.00°
Closest atoms and distances in Å follow each position.
Atoms (fractional coordinates):
Li  0.0000  0.0000  0.0000  8 Pt 3.05, 4 Ac 3.14
Ac  0.5000  0.5000  0.0000  8 Pt 3.05, 4 Li 3.14
Pt  0.0000  0.5000  0.5000  4 Ac 3.05, 4 Li 3.05, 4 Pt 3.14
Pt  0.5000  0.0000  0.5000  4 Ac 3.05, 4 Li 3.05, 4 Pt 3.14

---

The data favor i; the next most stable structure lies 0.153 eV/atom above it.

---

i | Computed, not measured: a relaxed structure of LiAcSnPt at the PBE-GGA level of DFT.

## Properties
crystal system: monoclinic
space-group type: Cm, No. 8
total magnetization: 0.0 μB/f.u.

a = 4.7321 Å, b = 4.7321 Å, c = 5.6951 Å
α = 114.63°, β = 114.63°, γ = 60.00°
Closest atoms and distances in Å follow each position.
Atoms (fractional coordinates):
Li  0.0000  0.0000  0.0000  3 Sn 2.80-2.81, 3 Pt 2.93, 1 Ac 3.00
Ac  0.2003  0.2003  0.6018  1 Li 3.00, 4 Pt 3.05-3.36
Sn  0.7083  0.7083  0.1254  3 Pt 2.77, 3 Li 2.80-2.81
Pt  0.4040  0.4040  0.2122  3 Sn 2.77, 3 Li 2.93, 1 Ac 3.05

---

ii | Computed, not measured: a relaxed structure of LiAcSnPt at the PBE-GGA level of DFT.

## Properties
crystal system: cubic
space-group type: F-43m, No. 216
total magnetization: 0.0 μB/f.u.

a = 5.0554 Å, b = 5.0554 Å, c = 5.0554 Å
α = 60.00°, β = 60.00°, γ = 60.00°
Closest atoms and distances in Å follow each position.
Atoms (fractional coordinates):
Li  0.0000  0.0000  0.0000  4 Sn 3.10, 4 Ac 3.10
Ac  0.2500  0.2500  0.2500  4 Pt 3.10, 4 Li 3.10
Sn  0.7500  0.7500  0.7500  4 Pt 3.10, 4 Li 3.10
Pt  0.5000  0.5000  0.5000  4 Ac 3.10, 4 Sn 3.10

---

The data favor i; the next most stable structure lies 0.062 eV/atom above it.